# 1
The following is a DFT calculation (PBE) of a geometry-optimized Ce2TaO structure.

Calculated values
Symmetry: No. 166
Spin magnetization, Bohr magnetons per cell: 0.10
Formation energy from raw total energies, meV/atom: -837
E_tot, eV per atom: -8.007

abc: 3.133 3.133 9.223
angles: 80.22 80.22 60.00
Fractional positions:
Ce 0.106 0.106 0.683
Ce 0.894 0.894 0.317
Ta 0.000 0.000 0.000
O 0.500 0.500 0.500



# 2
The following is a DFT calculation (PBE) of a geometry-optimized Ce2TaO6 structure.

Calculated values
Symmetry: No. 58
Spin magnetization, Bohr magnetons per cell: 2.05
Formation energy from raw total energies, meV/atom: -3222
E_tot, eV per atom: -9.163

abc: 5.717 5.662 9.162
angles: 90.00 90.00 90.00
Fractional positions:
O 0.145 0.201 0.342
O 0.855 0.799 0.342
O 0.693 0.167 0.500
Ta 0.000 0.000 0.500
Ce 0.000 0.500 0.203
O 0.307 0.833 0.500
O 0.807 0.667 0.000
O 0.645 0.299 0.842
Ta 0.500 0.500 0.000
O 0.355 0.701 0.158
O 0.145 0.201 0.658
Ce 0.500 0.000 0.703
O 0.855 0.799 0.658
O 0.193 0.333 0.000
O 0.355 0.701 0.842
Ce 0.000 0.500 0.797
O 0.645 0.299 0.158
Ce 0.500 0.000 0.297



# 3
The following is a DFT calculation (PBE) of a geometry-optimized CeTa7O19 structure.

Calculated values
Symmetry: No. 188
Spin magnetization, Bohr magnetons per cell: 2.03
Formation energy from raw total energies, meV/atom: -2922
E_tot, eV per atom: -9.704
Energy above the lowest structure with this stoichiometry, meV/atom: 0

abc: 6.290 6.290 20.170
angles: 90.00 90.00 120.00
Fractional positions:
Ta 0.026 0.691 0.844
O 0.252 0.959 0.250
O 0.041 0.293 0.250
O 0.000 0.000 0.368
Ta 0.333 0.667 0.500
Ta 0.026 0.335 0.344
O 0.707 0.959 0.750
O 0.041 0.748 0.750
Ta 0.333 0.667 0.000
O 0.912 0.579 0.347
O 0.912 0.333 0.653
O 0.421 0.333 0.347
Ta 0.309 0.974 0.156
Ta 0.309 0.335 0.844
O 0.252 0.293 0.750
O 0.000 0.000 0.132
O 0.333 0.667 0.667
O 0.333 0.667 0.833
O 0.288 0.385 0.557
Ta 0.665 0.974 0.844
O 0.912 0.333 0.847
O 0.615 0.903 0.557
O 0.667 0.088 0.347
O 0.912 0.579 0.153
Ta 0.665 0.691 0.344
O 0.000 0.000 0.868
O 0.421 0.088 0.847
Ta 0.026 0.691 0.656
O 0.421 0.333 0.153
Ta 0.665 0.691 0.156
Ta 0.665 0.974 0.656
Ce 0.000 0.000 0.000
O 0.667 0.579 0.653
O 0.288 0.903 0.057
Ta 0.309 0.335 0.656
O 0.097 0.385 0.443
O 0.421 0.088 0.653
O 0.288 0.385 0.943
O 0.615 0.903 0.943
O 0.288 0.903 0.443
O 0.667 0.088 0.153
O 0.000 0.000 0.632
Ta 0.026 0.335 0.156
O 0.333 0.667 0.333
O 0.667 0.579 0.847
O 0.707 0.748 0.250
O 0.615 0.712 0.443
Ce 0.000 0.000 0.500
O 0.097 0.712 0.943
O 0.097 0.712 0.557
Ta 0.309 0.974 0.344
O 0.333 0.667 0.167
O 0.615 0.712 0.057
O 0.097 0.385 0.057



# 4
The following is a DFT calculation (PBE) of a geometry-optimized CeTa2O6 structure.

Calculated values
Symmetry: No. 150
Spin magnetization, Bohr magnetons per cell: 5.91
Formation energy from raw total energies, meV/atom: -2811
E_tot, eV per atom: -9.410

abc: 4.695 9.307 9.307
angles: 120.00 90.00 90.00
Fractional positions:
O 0.253 0.079 0.552
O 0.755 0.880 0.134
O 0.747 0.552 0.079
Ta 0.000 0.354 0.000
Ce 0.000 0.000 0.000
Ta 0.500 0.688 0.000
O 0.751 0.589 0.786
O 0.747 0.527 0.448
Ce 0.492 0.667 0.333
O 0.755 0.866 0.746
O 0.253 0.473 0.921
O 0.245 0.746 0.866
O 0.249 0.786 0.589
O 0.751 0.197 0.411
O 0.253 0.448 0.527
O 0.245 0.134 0.880
O 0.747 0.921 0.473
Ce 0.508 0.333 0.667
O 0.249 0.803 0.214
O 0.245 0.120 0.254
Ta 0.500 0.000 0.688
Ta 0.500 0.312 0.312
O 0.249 0.411 0.197
O 0.755 0.254 0.120
Ta 0.000 0.000 0.354
O 0.751 0.214 0.803
Ta 0.000 0.646 0.646



# 5
The following is a DFT calculation (PBE) of a geometry-optimized CeTaO6 structure.

Calculated values
Symmetry: No. 225
Spin magnetization, Bohr magnetons per cell: 3.02
Formation energy from raw total energies, meV/atom: -2025
E_tot, eV per atom: -7.967

abc: 5.972 5.972 5.972
angles: 60.00 60.00 60.00
Fractional positions:
O 0.234 0.766 0.766
Ce 0.500 0.500 0.500
O 0.234 0.766 0.234
O 0.766 0.234 0.234
O 0.234 0.234 0.766
O 0.766 0.766 0.234
O 0.766 0.234 0.766
Ta 0.000 0.000 0.000



# 6
The following is a DFT calculation (PBE) of a geometry-optimized CeTa4O12 structure.

Calculated values
Symmetry: No. 139
Spin magnetization, Bohr magnetons per cell: 0.00
Formation energy from raw total energies, meV/atom: -2914
E_tot, eV per atom: -9.552

abc: 6.772 6.772 6.772
angles: 108.82 110.80 108.80
Fractional positions:
Ta 0.000 0.500 0.000
O 0.717 0.933 0.217
O 0.283 0.500 0.217
O 0.042 0.740 0.302
O 0.438 0.740 0.698
Ta 0.000 0.000 0.500
O 0.198 0.261 0.459
O 0.802 0.739 0.541
O 0.958 0.260 0.698
O 0.562 0.260 0.302
O 0.198 0.739 0.937
O 0.283 0.067 0.783
Ta 0.500 0.500 0.500
Ce 0.000 0.500 0.500
Ta 0.500 0.000 0.000
O 0.717 0.500 0.783
O 0.802 0.261 0.063